(1)
Entry from Alexandria via LeMat-Bulk: a relaxed structure of LaHfCu (PBE).

Values from the calculation:
- E: -6.3181 eV/atom
- Formation energy: 0.008 eV/atom

Cell lengths 3.355, 6.296, 7.061 Å; angles 72.93, 89.99, 74.55 degrees
Fractional positions:
La  0.148  0.205  0.083
La  0.852  0.795  0.917
Hf  0.148  0.203  0.544
Hf  0.852  0.797  0.456
Cu  0.481  0.539  0.296
Cu  0.519  0.461  0.704



(2)
Entry from Alexandria via LeMat-Bulk: a relaxed structure of LaHfCu (PBE).

Values from the calculation:
- E: -5.6379 eV/atom
- Formation energy: 0.688 eV/atom

Cell lengths 4.716, 4.716, 4.716 Å; angles 60.00, 60.00, 60.00 degrees
Fractional positions:
La  0.000  0.000  0.000
Hf  0.750  0.750  0.750
Cu  0.500  0.500  0.500



(3)
Entry from Alexandria via LeMat-Bulk: a relaxed structure of LaHfCu (PBE).

Values from the calculation:
- E: -6.3066 eV/atom
- Formation energy: 0.019 eV/atom

Cell lengths 6.508, 6.508, 6.508 Å; angles 149.74, 149.74, 43.33 degrees
Fractional positions:
La  0.000  0.000  0.000
Hf  0.296  0.296  0.000
Cu  0.688  0.688  0.000



(4)
Entry from Alexandria via LeMat-Bulk: a relaxed structure of LaHfCu (PBE).

Values from the calculation:
- E: -6.3200 eV/atom
- Formation energy: 0.006 eV/atom

Cell lengths 5.029, 3.370, 8.498 Å; angles 90.00, 107.13, 90.00 degrees
Fractional positions:
La  0.181  0.000  0.360
La  0.819  0.000  0.640
Hf  0.000  0.500  0.000
Hf  0.500  0.000  0.000
Cu  0.367  0.500  0.736
Cu  0.633  0.500  0.264



(5)
Entry from Alexandria via LeMat-Bulk: a relaxed structure of La3HfCu (PBE).

Values from the calculation:
- E: -5.2587 eV/atom
- Formation energy: 0.508 eV/atom

Cell lengths 5.505, 5.505, 5.505 Å; angles 90.00, 90.00, 90.00 degrees
Fractional positions:
La  0.000  0.000  0.500
La  0.000  0.500  0.000
La  0.500  0.000  0.000
Hf  0.500  0.500  0.500
Cu  0.000  0.000  0.000



(6)
Entry from Alexandria via LeMat-Bulk: a relaxed structure of LaHf2Cu2 (PBE).

Values from the calculation:
- E: -6.5850 eV/atom
- Formation energy: 0.020 eV/atom

Cell lengths 6.297, 6.297, 6.297 Å; angles 138.36, 138.36, 60.35 degrees
Fractional positions:
La  0.000  0.000  0.000
Hf  0.250  0.750  0.500
Hf  0.750  0.250  0.500
Cu  0.390  0.390  0.000
Cu  0.610  0.610  0.000



(7)
Entry from Alexandria via LeMat-Bulk: a relaxed structure of LaHf2Cu2 (PBE).

Values from the calculation:
- E: -6.3912 eV/atom
- Formation energy: 0.214 eV/atom

Cell lengths 6.548, 6.548, 6.548 Å; angles 140.34, 140.34, 57.34 degrees
Fractional positions:
La  0.000  0.000  0.000
Hf  0.367  0.367  0.000
Hf  0.633  0.633  0.000
Cu  0.250  0.750  0.500
Cu  0.750  0.250  0.500



(8)
Entry from Alexandria via LeMat-Bulk: a relaxed structure of La2HfCu (PBE).

Values from the calculation:
- E: -5.6867 eV/atom
- Formation energy: 0.289 eV/atom

Cell lengths 5.306, 5.306, 5.306 Å; angles 60.00, 60.00, 60.00 degrees
Fractional positions:
La  0.250  0.250  0.250
La  0.750  0.750  0.750
Hf  0.000  0.000  0.000
Cu  0.500  0.500  0.500



(9)
Entry from Alexandria via LeMat-Bulk: a relaxed structure of LaHfCu (PBE).

Values from the calculation:
- E: -5.7316 eV/atom
- Formation energy: 0.594 eV/atom

Cell lengths 5.078, 5.078, 6.030 Å; angles 90.00, 90.00, 120.00 degrees
Fractional positions:
La  0.333  0.667  0.250
La  0.667  0.333  0.750
Hf  0.333  0.667  0.750
Hf  0.667  0.333  0.250
Cu  0.000  0.000  0.000
Cu  0.000  0.000  0.500



(10)
Entry from Alexandria via LeMat-Bulk: a relaxed structure of LaHfCu (PBE).

Values from the calculation:
- E: -6.4029 eV/atom
- Formation energy: -0.077 eV/atom

Cell lengths 3.347, 3.351, 12.366 Å; angles 90.00, 90.04, 90.00 degrees
Fractional positions:
La  0.249  0.250  0.128
La  0.751  0.750  0.872
Hf  0.250  0.250  0.421
Hf  0.750  0.750  0.579
Cu  0.251  0.250  0.696
Cu  0.749  0.750  0.304



(11)
Entry from Alexandria via LeMat-Bulk: a relaxed structure of LaHf2Cu2 (PBE).

Values from the calculation:
- E: -6.5144 eV/atom
- Formation energy: 0.091 eV/atom

Cell lengths 8.188, 8.188, 2.968 Å; angles 90.00, 90.00, 90.00 degrees
Fractional positions:
La  0.000  0.000  0.000
La  0.500  0.500  0.000
Hf  0.136  0.364  0.000
Hf  0.364  0.864  0.000
Hf  0.636  0.136  0.000
Hf  0.864  0.636  0.000
Cu  0.159  0.659  0.500
Cu  0.341  0.159  0.500
Cu  0.659  0.841  0.500
Cu  0.841  0.341  0.500



(12)
Entry from Alexandria via LeMat-Bulk: a relaxed structure of La2HfCu (PBE).

Values from the calculation:
- E: -5.8905 eV/atom
- Formation energy: 0.086 eV/atom

Cell lengths 3.531, 3.531, 8.569 Å; angles 90.00, 90.00, 90.00 degrees
Fractional positions:
La  0.000  0.000  0.224
La  0.000  0.000  0.776
Hf  0.500  0.500  0.500
Cu  0.500  0.500  0.000



(13)
Entry from Alexandria via LeMat-Bulk: a relaxed structure of LaHfCu (PBE).

Values from the calculation:
- E: -6.2232 eV/atom
- Formation energy: 0.103 eV/atom

Cell lengths 6.384, 6.384, 5.770 Å; angles 90.00, 90.00, 141.45 degrees
Fractional positions:
La  0.191  0.809  0.750
La  0.809  0.191  0.250
Hf  0.068  0.932  0.250
Hf  0.932  0.068  0.750
Cu  0.500  0.500  0.000
Cu  0.500  0.500  0.500